The following is a GGA+U calculation of a relaxed structure of CdPb2WO8, from Alexandria.

Summary:
- crystal system = monoclinic
- DFT total energy (eV/atom) = -5.838
- density of states at the Fermi level (states/eV/f.u.) = 0.16

Unit cell a=4.969 b=6.794 c=4.974 alpha=90.00 beta=90.36 gamma=90.00
Space group P2/m (No. 10)
Symmetry-distinct sites (fractional):
Cd (0.000, 0.000, 0.000) x1
Pb (0.500, 0.249, 0.500) x2
W (0.000, 0.500, 0.000) x1
O (0.187, 0.293, 0.813) x4
O (0.288, 0.500, 0.289) x2
O (0.307, 0.000, 0.309) x2